Entry 1:
## BaLaMn (PBE)

Data for a relaxed structure of BaLaMn.

Cell: 5.3932 5.3932 5.3932 Å, 60.00 60.00 60.00°
Fractional positions:
Mn1 0.7500 0.7500 0.7500
La1 0.5000 0.5000 0.5000
Ba1 0.0000 0.0000 0.0000

Summary:
The total energy is -14.2 eV for the cell shown. Its crystal system is cubic. The density of states at the Fermi level comes out at 1.272 states/eV/atom. Its energy above the most stable polymorph in this dataset is 236 meV per atom. The energy relative to the elements comes out at 0.608 eV/atom.

***

Entry 2:
## DyTm4Th3 (PBE)

Data for a relaxed structure of DyTm4Th3.

Cell: 3.5482 6.0576 11.7038 Å, 95.01 98.72 90.00°
Fractional positions:
Tm1 0.2500 0.2540 0.5001
Tm2 0.1250 0.8754 0.2500
Tm3 0.7500 0.7460 0.4999
Tm4 0.8750 0.1246 0.7500
Dy1 0.5000 0.0000 0.0000
Th1 0.3748 0.6238 0.7497
Th2 0.6252 0.3762 0.2503
Th3 0.0000 0.5000 0.0000

Summary:
The total energy is -44.5 eV for the cell shown. Its crystal system is monoclinic. The density of states at the Fermi level comes out at 1.262 states/eV/atom. Its energy above the most stable polymorph in this dataset is 0 meV per atom. The energy relative to the elements comes out at 0.026 eV/atom.

***

Entry 3:
## KTe2AsI (PBE)

Data for a relaxed structure of KTe2AsI.

Cell: 6.2802 6.2802 6.1240 Å, 90.00 90.00 90.00°
Fractional positions:
Te1 0.5000 0.0000 0.0000
Te2 0.0000 0.5000 0.0000
K1 0.0000 0.0000 0.0000
I1 0.0000 0.0000 0.5000
As1 0.5000 0.5000 0.5000

Summary:
The total energy is -8.5 eV for the cell shown. Its crystal system is tetragonal. The density of states at the Fermi level comes out at 1.960 states/eV/atom. The calculation puts the uncorrected formation energy at 1.018 eV/atom. Its energy above the most stable polymorph in this dataset is 1234 meV per atom.

***

Entry 4:
## SrBeBr2 (PBE)

Data for a relaxed structure of SrBeBr2.

Cell: 5.4490 5.4490 5.4490 Å, 60.00 60.00 60.00°
Fractional positions:
Br1 0.0000 0.0000 0.0000
Br2 0.2500 0.2500 0.2500
Sr1 0.7500 0.7500 0.7500
Be1 0.5000 0.5000 0.5000

Summary:
The total energy is -10.3 eV for the cell shown. Its crystal system is cubic. The calculation puts the uncorrected formation energy at -0.382 eV/atom. Its energy above the most stable polymorph in this dataset is 439 meV per atom.

***

Entry 5:
## Pr2TlPb9 (PBE)

Data for a relaxed structure of Pr2TlPb9.

Cell: 4.9056 4.9056 15.3037 Å, 90.00 90.00 90.00°
Fractional positions:
Pb1 0.5000 0.5000 0.3295
Pb2 0.5000 0.0000 0.5000
Pb3 0.0000 0.5000 0.5000
Pb4 0.5000 0.5000 0.0000
Pb5 0.0000 0.5000 0.1675
Pb6 0.5000 0.0000 0.8325
Pb7 0.5000 0.5000 0.6705
Pb8 0.0000 0.5000 0.8325
Pb9 0.5000 0.0000 0.1675
Tl1 0.0000 0.0000 0.0000
Pr1 0.0000 0.0000 0.3448
Pr2 0.0000 0.0000 0.6552

Summary:
The total energy is -48.2 eV for the cell shown. Its crystal system is tetragonal. The density of states at the Fermi level comes out at 0.513 states/eV/atom. The energy relative to the elements comes out at -0.245 eV/atom.

***

Entry 6:
## Ti3Co20B6 (PBE)

Data for a relaxed structure of Ti3Co20B6.

Cell: 7.4120 7.4120 7.4120 Å, 60.00 60.00 60.00°
Fractional positions:
B1 0.7284 0.7284 0.2716
B2 0.2716 0.7284 0.2716
B3 0.7284 0.2716 0.7284
B4 0.2716 0.7284 0.7284
B5 0.7284 0.2716 0.2716
B6 0.2716 0.2716 0.7284
Co1 0.3826 0.3826 0.8523
Co2 0.6580 0.0000 0.0000
Co3 0.0000 0.0000 0.6580
Co4 0.0000 0.0000 0.3420
Co5 0.6174 0.6174 0.6174
Co6 0.3420 0.6580 0.0000
Co7 0.6174 0.1477 0.6174
Co8 0.6580 0.3420 0.0000
Co9 0.0000 0.3420 0.6580
Co10 0.0000 0.6580 0.3420
Co11 0.6174 0.6174 0.1477
Co12 0.3826 0.8523 0.3826
Co13 0.6580 0.0000 0.3420
Co14 0.8523 0.3826 0.3826
Co15 0.3420 0.0000 0.6580
Co16 0.1477 0.6174 0.6174
Co17 0.0000 0.6580 0.0000
Co18 0.3826 0.3826 0.3826
Co19 0.0000 0.3420 0.0000
Co20 0.3420 0.0000 0.0000
Ti1 0.0000 0.0000 0.0000
Ti2 0.7500 0.7500 0.7500
Ti3 0.2500 0.2500 0.2500

Summary:
The total energy is -215.7 eV for the cell shown. Its crystal system is cubic. The density of states at the Fermi level comes out at 1.056 states/eV/atom. The energy relative to the elements comes out at -0.340 eV/atom.

***

Entry 7:
## ZrHSCl (PBE)

Data for a relaxed structure of ZrHSCl.

Cell: 3.5229 3.5229 7.1667 Å, 90.05 104.17 120.00°
Fractional positions:
S1 0.0109 0.8696 0.8805
Cl1 0.3404 0.0353 0.3756
H1 0.5080 0.6186 0.1265
Zr1 0.8329 0.2810 0.1139

Summary:
The total energy is -23.1 eV for the cell shown. Its crystal system is trigonal. The density of states at the Fermi level comes out at 0.000 states/eV/atom.

***

Entry 8:
## LuInRh (PBE)

Data for a relaxed structure of LuInRh.

Cell: 3.5152 3.5152 5.5070 Å, 108.61 108.61 90.00°
Fractional positions:
Rh1 0.2852 0.2852 0.5703
Lu1 0.9338 0.9338 0.8675
In1 0.6311 0.6311 0.2622

Summary:
The total energy is -16.5 eV for the cell shown. Its crystal system is tetragonal. The density of states at the Fermi level comes out at 0.479 states/eV/atom. The energy relative to the elements comes out at -0.631 eV/atom.